# MgTaAu2

A relaxed structure of MgTaAu2 (PBE-GGA, Alexandria via LeMat-Bulk).

## Properties
- E (eV per atom) = -5.0756
- density (kg/m3) = 13706

abc: 2.942 2.942 8.387
angles: 90.00 90.00 90.00
Fractional coordinates of all 4 atoms:
Mg: 0.000 0.000 0.000
Ta: 0.500 0.500 0.265
Au: 0.000 0.000 0.505
Au: 0.500 0.500 0.768